Computed, not measured: Co6C13S2O12 after structural relaxation at the PBE with a Hubbard U level of DFT.

Cell and atoms, written as POSCAR:
```
Co6C13S2O12
1.0
7.882 -4.581 0.000
7.882 4.581 0.000
-7.089 0.000 13.643
C O Co S
26 24 12 4
Cartesian
2.541 -1.336 7.132
9.596 0.353 7.747
0.958 -1.740 12.215
-2.081 -0.016 7.765
3.972 -2.378 13.104
4.503 1.740 5.394
10.561 0.114 1.371
8.511 -2.055 1.456
4.364 -0.657 0.547
4.967 2.055 8.277
7.516 2.378 6.282
0.305 0.305 4.440
5.294 4.204 4.777
1.463 0.016 0.943
13.140 -0.353 0.925
1.750 -4.204 11.598
-1.468 1.618 11.003
2.076 -1.618 4.182
-3.240 -0.305 11.262
3.017 0.502 12.009
6.085 1.336 0.311
0.819 0.657 7.368
9.115 0.011 4.796
6.561 -0.502 5.187
7.017 -0.114 8.192
5.570 -0.011 11.617
9.861 0.960 1.735
3.510 1.167 5.561
2.322 1.424 12.043
10.597 -0.229 7.804
-0.385 1.694 10.605
5.427 -3.503 7.788
1.294 3.938 11.301
7.224 1.474 0.173
7.567 -1.484 1.809
8.136 -3.132 4.260
4.023 1.484 8.630
10.076 -0.603 4.590
3.680 -1.474 6.994
5.867 -1.424 5.221
4.386 -1.814 0.592
3.160 -1.694 3.784
0.842 1.814 7.414
4.839 -3.938 4.480
8.971 3.503 0.967
-0.035 -1.167 12.382
14.141 0.229 0.983
4.591 3.132 11.081
6.317 -0.960 8.556
6.532 0.603 11.411
4.087 -0.889 11.928
11.601 -1.195 0.853
6.399 2.922 7.724
4.356 1.102 0.475
5.994 2.639 5.162
8.056 1.195 7.674
0.415 -1.417 4.731
7.632 0.889 5.107
-3.130 1.417 11.552
2.450 -2.639 11.983
9.944 -2.922 0.903
0.811 -1.102 7.297
7.049 2.035 3.385
3.639 1.850 2.359
0.094 -1.850 9.181
3.504 -2.035 10.206
```

Results
- Space-group type: Cc (9)
- VASP energy: -6.98 eV per atom